Sc3SnN: optimized geometry, PBE-GGA.

Properties
**Formation energy without anion corrections**: -0.86 eV/atom
**Total energy**: -0.2617 Ha/atom
**Space group**: R-3, No. 148

abc: 7.930 7.930 7.930
angles: 42.16 42.16 42.16
Atoms (fractional coordinates):
Sc 0.452 0.095 0.786
Sc 0.095 0.786 0.452
Sc 0.214 0.548 0.905
Sc 0.905 0.214 0.548
Sc 0.548 0.905 0.214
Sc 0.786 0.452 0.095
Sn 0.337 0.337 0.337
Sn 0.663 0.663 0.663
N 0.163 0.163 0.163
N 0.837 0.837 0.837


LiAg4Sb: optimized geometry, PBE-GGA.

Properties
**Formation energy without anion corrections**: -0.08 eV/atom
**Total energy**: -0.1098 Ha/atom
**Space group**: C2/c, No. 15

abc: 5.197 5.197 9.931
angles: 75.67 75.67 61.19
Atoms (fractional coordinates):
Li 0.500 0.000 0.500
Li 0.000 0.500 0.000
Ag 0.404 0.261 0.750
Ag 0.174 0.656 0.500
Ag 0.826 0.344 0.500
Ag 0.261 0.404 0.250
Ag 0.739 0.596 0.750
Ag 0.344 0.826 0.000
Ag 0.656 0.174 0.000
Ag 0.596 0.739 0.250
Sb 0.927 0.073 0.250
Sb 0.073 0.927 0.750


TbYGaRh: optimized geometry, PBE-GGA.

Properties
**Calculated formation energy**: -65.0 kJ/mol of atoms
**Total energy**: -0.2220 Ha/atom
**Space group**: F-43m, No. 216

abc: 4.981 4.981 4.981
angles: 60.00 60.00 60.00
Atoms (fractional coordinates):
Y 0.750 0.750 0.750
Rh 0.500 0.500 0.500
Tb 0.250 0.250 0.250
Ga 0.000 0.000 0.000


ErMgF: optimized geometry, PBE-GGA.

Properties
**Formation energy without anion corrections**: -1.50 eV/atom
**Total energy**: -0.1534 Ha/atom
**Space group**: P-6m2, No. 187

abc: 3.436 3.436 12.506
angles: 90.00 90.00 120.00
Atoms (fractional coordinates):
Mg 0.389 0.778 0.000
Mg 0.722 0.444 0.500
F 0.722 0.444 0.326
F 0.722 0.444 0.674
Er 0.056 0.111 0.789
Er 0.056 0.111 0.211


Tb4PmTl: optimized geometry, PBE-GGA.

Properties
**Calculated formation energy**: 2.3 kJ/mol of atoms
**Total energy**: -0.1562 Ha/atom
**Space group**: Cmc2_1, No. 36

abc: 5.606 6.547 10.967
angles: 90.00 104.81 90.00
Atoms (fractional coordinates):
Tb 0.862 0.260 0.725
Tb 0.138 0.760 0.275
Tb 0.460 0.090 0.919
Tb 0.540 0.590 0.081
Tb 0.684 0.413 0.367
Tb 0.316 0.913 0.633
Tb 0.746 0.889 0.493
Tb 0.254 0.389 0.507
Pm 0.936 0.766 0.871
Pm 0.064 0.266 0.129
Tl 0.604 0.016 0.207
Tl 0.396 0.516 0.793


La3Tb4Te8: optimized geometry, PBE-GGA.

Properties
**Formation energy without anion corrections**: -1.47 eV/atom
**Total energy**: -0.1971 Ha/atom
**Space group**: C2/m, No. 12

abc: 8.881 8.921 8.921
angles: 90.05 119.80 119.80
Atoms (fractional coordinates):
La 0.500 0.500 0.000
La 0.500 0.000 0.500
La 0.500 0.500 0.500
Tb 0.500 0.000 0.000
Tb 0.000 0.500 0.000
Tb 0.000 0.000 0.000
Tb 0.000 0.000 0.500
Te 0.500 0.245 0.245
Te 0.000 0.749 0.251
Te 0.990 0.247 0.247
Te 0.500 0.755 0.245
Te 0.500 0.245 0.755
Te 0.010 0.753 0.753
Te 0.000 0.251 0.749
Te 0.500 0.755 0.755


La2ZrRe: optimized geometry, PBE-GGA.

Properties
**Calculated formation energy**: 43.7 kJ/mol of atoms
**Total energy**: -0.2668 Ha/atom
**Space group**: I4/mmm, No. 139

abc: 6.123 6.123 6.123
angles: 139.34 139.34 58.86
Atoms (fractional coordinates):
La 0.000 0.000 0.000
La 0.500 0.500 0.000
Re 0.250 0.750 0.500
Zr 0.750 0.250 0.500


GdScPaIn: optimized geometry, PBE-GGA.

Properties
**Calculated formation energy**: 10.2 kJ/mol of atoms
**Total energy**: -0.2961 Ha/atom
**Space group**: F-43m, No. 216

abc: 5.229 5.229 5.229
angles: 60.00 60.00 60.00
Site moments in Bohr magnetons follow the coordinates.
Atoms (fractional coordinates):
Gd 0.000 0.000 0.000  -7.12
Sc 0.500 0.500 0.500  0.13
Pa 0.250 0.250 0.250  0.07
In 0.750 0.750 0.750  0.00